(1)
The following is a PBE calculation of a geometry-optimized Ac2LuPb structure, from Alexandria.

Output
The calculation puts the calculated total energy at -17.2 eV per cell. The calculation puts the relative energy among the computed polymorphs at 18.8 meV/atom.

a b c (Å): 4.4668 4.4668 7.3265
angles (deg): 90.00 90.00 90.00
Last column: nearest neighbours and their distance in Å.
Element x y z (fractional)
1 Ac 0.0000 0.0000 0.2368  2 Ac 3.47-3.86, 4 Pb 3.60, 4 Lu 3.70
2 Ac 0.0000 0.0000 0.7632  2 Ac 3.47-3.86, 4 Pb 3.60, 4 Lu 3.70
3 Pb 0.5000 0.5000 0.0000  8 Ac 3.60, 2 Lu 3.66
4 Lu 0.5000 0.5000 0.5000  2 Pb 3.66, 8 Ac 3.70

=====

(2)
The following is a PBE calculation of a geometry-optimized YLuTe3 structure, from Alexandria.

Output
For the raw formation energy, the calculation gives -0.9048 eV per atom. The calculation puts the calculated total energy at -99.7 eV per cell. The calculation puts the relative energy among the computed polymorphs at 486.1 meV/atom.

a b c (Å): 10.2175 10.2175 10.2175
angles (deg): 60.00 60.00 60.00
Last column: nearest neighbours and their distance in Å.
Element x y z (fractional)
1 Lu 0.1250 0.1250 0.6250  6 Te 3.07
2 Lu 0.6250 0.1250 0.1250  6 Te 3.07
3 Lu 0.1250 0.1250 0.1250  6 Te 3.07
4 Lu 0.1250 0.6250 0.1250  6 Te 3.07
5 Te 0.4929 0.0071 0.4929  2 Lu 3.07, 2 Y 3.19
6 Te 0.7571 0.7571 0.2429  2 Lu 3.07, 2 Y 3.19
7 Te 0.4929 0.4929 0.0071  2 Lu 3.07, 2 Y 3.19
8 Te 0.0071 0.0071 0.4929  2 Lu 3.07, 2 Y 3.19
9 Te 0.2429 0.2429 0.7571  2 Lu 3.07, 2 Y 3.19
10 Te 0.4929 0.0071 0.0071  2 Lu 3.07, 2 Y 3.19
11 Te 0.0071 0.4929 0.4929  2 Lu 3.07, 2 Y 3.19
12 Te 0.0071 0.4929 0.0071  2 Lu 3.07, 2 Y 3.19
13 Te 0.2429 0.7571 0.2429  2 Lu 3.07, 2 Y 3.19
14 Te 0.7571 0.2429 0.7571  2 Lu 3.07, 2 Y 3.19
15 Te 0.2429 0.7571 0.7571  2 Lu 3.07, 2 Y 3.19
16 Te 0.7571 0.2429 0.2429  2 Lu 3.07, 2 Y 3.19
17 Y 0.6250 0.6250 0.6250  6 Te 3.19
18 Y 0.6250 0.1250 0.6250  6 Te 3.19
19 Y 0.1250 0.6250 0.6250  6 Te 3.19
20 Y 0.6250 0.6250 0.1250  6 Te 3.19

=====

Q: What is the formula in the second record?
A: YLuTe3

=====

Q: Among the records above, which one has the highest relative energy among the computed polymorphs?
A: YLuTe3

=====

Q: What is the calculated total energy in the first record?
A: -17.2 eV per cell